(1)
This record from Alexandria describes a geometry-optimized In2CuRh structure. The functional is PBE.

- E_form (eV/atom) = -0.072

abc: 3.2928 3.8821 5.6181
angles: 90.00 90.00 90.00
Closest atoms and distances in Å follow each position.
Space group Pmm2 (No. 25)
Inequivalent atoms, fractional coordinates:
In 0.0000 0.0000 0.0000 x1  2 Rh 2.69-2.93, 4 Cu 2.79
In 0.5000 0.5000 0.3285 x1  1 Cu 2.63, 4 Rh 2.77
Cu 0.5000 0.5000 0.7970 x1  5 In 2.63-2.79
Rh 0.0000 0.0000 0.5212 x1  6 In 2.69-2.93, 4 Cu 2.98

=====

(2)
This record from Alexandria describes a geometry-optimized Rb2SnBrCl5 structure. The functional is PBE.

- raw formation energy (eV/atom) = -1.432

abc: 7.4509 7.4509 10.4948
angles: 90.00 90.00 90.00
Closest atoms and distances in Å follow each position.
Space group I4mm (No. 107)
Inequivalent atoms, fractional coordinates:
Rb 0.0000 0.5000 0.0000 x4  10 Cl 3.72-3.73, 2 Br 3.73
Sn 0.0000 0.0000 0.2495 x2  5 Cl 2.47-2.48, 1 Br 2.63
Br 0.0000 0.0000 0.5004 x2  1 Sn 2.63
Cl 0.0000 0.0000 0.0142 x2  1 Sn 2.47
Cl 0.2351 0.2351 0.2499 x8  1 Sn 2.48

=====

(3)
This record from Alexandria describes a geometry-optimized Pm2PrSmHo structure. The functional is PBE.

- E_form (eV/atom) = 0.271

abc: 8.4196 6.6215 6.2908
angles: 90.00 93.62 90.00
Closest atoms and distances in Å follow each position.
Space group P2/c (No. 13)
Inequivalent atoms, fractional coordinates:
Pm 0.1896 0.1912 0.2707 x4  1 Sm 3.13, 1 Pm 3.19
Pr 0.5000 0.5000 0.0000 x2  2 Pr 3.15, 2 Sm 3.27
Sm 0.5000 0.0671 0.7500 x2  2 Pm 3.13, 2 Sm 3.27, 2 Pr 3.27
Ho 0.0000 0.3363 0.7500 x2  8 Pm 3.51-3.84, 2 Ho 3.82

=====

no.,total energy (eV per atom)
1,-4.303
2,-3.304
3,-4.445